# PBEsol SrZn2Fe, optimized geometry
data_SrZn2Fe
_chemical_formula_sum 'Sr1 Zn2 Fe1'
_space_group_name_H-M_alt 'P 1'
_space_group_IT_number 1
_space_group_name_Hall 'P 1'
_cell_length_a 4.2984
_cell_length_b 4.2984
_cell_length_c 4.2665
_cell_angle_alpha 90.00
_cell_angle_beta 90.00
_cell_angle_gamma 90.00
loop_
_atom_site_label
_atom_site_type_symbol
_atom_site_fract_x
_atom_site_fract_y
_atom_site_fract_z
Sr1 Sr 0.0000 0.0000 0.0000
Zn1 Zn 0.0000 0.5000 0.5000
Zn2 Zn 0.5000 0.0000 0.5000
Fe1 Fe 0.5000 0.5000 0.0000
# - electronic total energy (eV/atom) = -2.987
# - SG = P4/mmm, No. 123
# - DFT formation energy (meV/atom) = 505
# - M_tot (Bohr magnetons per cell) = 2.54